Here is crystalline SmTaNb at its relaxed geometry from OQMD. Energies are from PBE-GGA.

Computed properties:
The value obtained for the raw total energy is -7.230 eV per atom. The formation energy comes out at 159.8 kJ/mol of atoms.

Cell: 4.698 4.698 4.698 Å, 60.00 60.00 60.00°
Positions (direct):
1 Nb 0.250 0.250 0.250
2 Sm 0.000 0.000 0.000
3 Ta 0.750 0.750 0.750